# K2BaTl

A relaxed structure of K2BaTl (PBE, Alexandria).

POSCAR file:
```
K2BaTl
1.0
-4.9356 -2.8479 6.7860
-0.9921 -4.1787 7.7508
0.2276 4.0030 4.5914
Ba K Tl
1 2 1
Direct
0.2500 0.2500 0.2500
0.0617 0.0617 0.9381
0.4383 0.4383 0.5619
0.7500 0.7500 0.7500
```

Results
Energy above the most stable polymorph in this dataset ... 3.9 kJ/mol of atoms
Calculated density ... 3.33 Mg/m³
Space group ... C2/m
Volume ... 209 Å³/cell
VASP energy ... -6.8 eV/cell